Record 1
La8Tm2Cd: optimized geometry, PBE.

a = 9.731 Å, b = 9.731 Å, c = 6.189 Å
α = 103.10°, β = 103.10°, γ = 41.15°
Fractional positions:
La1 0.033 0.033 0.280
La2 0.076 0.611 0.011
La3 0.389 0.924 0.989
La4 0.398 0.398 0.473
La5 0.602 0.602 0.527
La6 0.611 0.076 0.011
La7 0.924 0.389 0.989
La8 0.967 0.967 0.720
Tm1 0.218 0.218 0.540
Tm2 0.782 0.782 0.460
Cd1 0.500 0.500 0.000

Computed properties:
- Total energy: -4.4312 eV per atom
- Formation enthalpy at 0 K: 49 meV per atom
- Space group: C2/m
- Energy above the lowest structure with this stoichiometry: 1.74 kcal/mol of atoms
- Fermi-level density of states: 16.69 states/eV per cell


Record 2
LaTmCd4: optimized geometry, PBE.

a = 3.449 Å, b = 5.049 Å, c = 8.771 Å
α = 90.00°, β = 90.00°, γ = 90.00°
Fractional positions:
La1 0.000 0.000 0.000
Tm1 0.000 0.500 0.500
Cd1 0.500 0.000 0.340
Cd2 0.500 0.000 0.660
Cd3 0.500 0.500 0.175
Cd4 0.500 0.500 0.825

Computed properties:
- Total energy: -2.5002 eV per atom
- Formation enthalpy at 0 K: -324 meV per atom
- Space group: Pmmm
- Energy above the lowest structure with this stoichiometry: 0.00 kcal/mol of atoms
- Fermi-level density of states: 3.61 states/eV per cell